Record 1
{"formula": "AcZn11Rh", "functional": "PBE-GGA", "state": "relaxed", "formation_energy_mev_per_atom": -231, "density_g_cm3": 8.0, "lattice_angstrom": [[2.557, -6.543, 0.000], [2.557, 6.543, 0.000], [-2.553, 0.000, 6.542]], "species": ["Ac", "Zn", "Zn", "Zn", "Zn", "Zn", "Zn", "Zn", "Zn", "Zn", "Zn", "Zn", "Rh"], "frac_coords": [[0.000, 0.000, 0.000], [0.000, 0.000, 0.500], [0.000, 0.500, 0.000], [0.020, 0.372, 0.363], [0.269, 0.502, 0.766], [0.372, 0.020, 0.363], [0.498, 0.731, 0.234], [0.500, 0.000, 0.000], [0.502, 0.269, 0.766], [0.628, 0.980, 0.637], [0.731, 0.498, 0.234], [0.980, 0.628, 0.637], [0.500, 0.500, 0.500]]}

Record 2
{"formula": "AcZn9Rh3", "functional": "PBE-GGA", "state": "relaxed", "formation_energy_mev_per_atom": -341, "density_g_cm3": 8.7, "lattice_angstrom": [[2.708, -6.245, 0.000], [2.708, 6.245, 0.000], [-2.603, 0.000, 6.375]], "species": ["Ac", "Zn", "Zn", "Zn", "Zn", "Zn", "Zn", "Zn", "Zn", "Zn", "Rh", "Rh", "Rh"], "frac_coords": [[0.000, 0.000, 0.000], [0.029, 0.669, 0.655], [0.272, 0.503, 0.770], [0.331, 0.971, 0.345], [0.497, 0.728, 0.230], [0.500, 0.500, 0.500], [0.503, 0.272, 0.770], [0.669, 0.029, 0.655], [0.728, 0.497, 0.230], [0.971, 0.331, 0.345], [0.000, 0.000, 0.500], [0.000, 0.500, 0.000], [0.500, 0.000, 0.000]]}

Record 3
{"formula": "Ac2ZnRh", "functional": "PBE-GGA", "state": "relaxed", "formation_energy_mev_per_atom": -371, "density_g_cm3": 8.4, "lattice_angstrom": [[11.990, 0.000, 0.000], [0.000, 4.437, 0.000], [-2.112, 0.000, 4.623]], "species": ["Ac", "Ac", "Ac", "Ac", "Zn", "Zn", "Rh", "Rh"], "frac_coords": [[0.170, 0.000, 0.171], [0.330, 0.500, 0.829], [0.670, 0.500, 0.171], [0.830, 0.000, 0.829], [0.000, 0.500, 0.500], [0.500, 0.000, 0.500], [0.000, 0.500, 0.000], [0.500, 0.000, 0.000]]}

Record 4
{"formula": "AcZn2Rh3", "functional": "PBE-GGA", "state": "relaxed", "formation_energy_mev_per_atom": -539, "density_g_cm3": 10.1, "lattice_angstrom": [[5.603, 0.000, 0.000], [-2.802, 4.853, 0.000], [0.000, 0.000, 4.016]], "species": ["Ac", "Zn", "Zn", "Rh", "Rh", "Rh"], "frac_coords": [[0.000, 0.000, 0.000], [0.333, 0.667, 0.000], [0.667, 0.333, 0.000], [0.000, 0.500, 0.500], [0.500, 0.000, 0.500], [0.500, 0.500, 0.500]]}

Record 5
{"formula": "Ac3Zn4Rh4", "functional": "PBE-GGA", "state": "relaxed", "formation_energy_mev_per_atom": -539, "density_g_cm3": 9.2, "lattice_angstrom": [[13.415, -2.163, 0.000], [13.415, 2.163, 0.000], [-0.671, 0.000, 4.198]], "species": ["Ac", "Ac", "Ac", "Zn", "Zn", "Zn", "Zn", "Rh", "Rh", "Rh", "Rh"], "frac_coords": [[0.000, 0.000, 0.000], [0.351, 0.351, 0.851], [0.649, 0.649, 0.149], [0.098, 0.098, 0.598], [0.250, 0.250, 0.250], [0.750, 0.750, 0.750], [0.902, 0.902, 0.402], [0.194, 0.194, 0.695], [0.450, 0.450, 0.451], [0.550, 0.550, 0.549], [0.806, 0.806, 0.305]]}

Record 6
{"formula": "AcZn4Rh2", "functional": "PBE-GGA", "state": "relaxed", "formation_energy_mev_per_atom": -379, "density_g_cm3": 9.0, "lattice_angstrom": [[4.120, 0.000, 0.000], [0.000, 15.025, 0.000], [0.000, 0.000, 4.160]], "species": ["Ac", "Ac", "Zn", "Zn", "Zn", "Zn", "Zn", "Zn", "Zn", "Zn", "Rh", "Rh", "Rh", "Rh"], "frac_coords": [[0.000, 0.000, 0.000], [0.500, 0.500, 0.000], [0.000, 0.194, 0.500], [0.000, 0.311, 0.000], [0.000, 0.689, 0.000], [0.000, 0.806, 0.500], [0.500, 0.189, 0.000], [0.500, 0.306, 0.500], [0.500, 0.694, 0.500], [0.500, 0.811, 0.000], [0.000, 0.411, 0.500], [0.000, 0.589, 0.500], [0.500, 0.089, 0.500], [0.500, 0.911, 0.500]]}

Record 7
{"formula": "Ac2ZnRh", "functional": "PBE-GGA", "state": "relaxed", "formation_energy_mev_per_atom": -172, "density_g_cm3": 6.4, "lattice_angstrom": [[4.309, 0.000, 0.000], [-2.154, 3.732, 0.000], [0.000, 0.000, 30.014]], "species": ["Ac", "Ac", "Ac", "Ac", "Ac", "Ac", "Zn", "Zn", "Zn", "Rh", "Rh", "Rh"], "frac_coords": [[0.000, 0.000, 0.113], [0.000, 0.000, 0.887], [0.333, 0.667, 0.553], [0.333, 0.667, 0.780], [0.667, 0.333, 0.220], [0.667, 0.333, 0.447], [0.000, 0.000, 0.000], [0.333, 0.667, 0.667], [0.667, 0.333, 0.333], [0.000, 0.000, 0.500], [0.333, 0.667, 0.167], [0.667, 0.333, 0.833]]}

Record 8
{"formula": "Ac2Zn12Rh5", "functional": "PBE-GGA", "state": "relaxed", "formation_energy_mev_per_atom": -363, "density_g_cm3": 8.9, "lattice_angstrom": [[4.628, 2.672, 4.425], [-4.628, 2.672, 4.425], [0.000, -5.344, 4.425]], "species": ["Ac", "Ac", "Zn", "Zn", "Zn", "Zn", "Zn", "Zn", "Zn", "Zn", "Zn", "Zn", "Zn", "Zn", "Rh", "Rh", "Rh", "Rh", "Rh"], "frac_coords": [[0.171, 0.171, 0.171], [0.829, 0.829, 0.829], [0.160, 0.160, 0.649], [0.160, 0.649, 0.160], [0.220, 0.500, 0.780], [0.220, 0.780, 0.500], [0.351, 0.840, 0.840], [0.500, 0.220, 0.780], [0.500, 0.780, 0.220], [0.649, 0.160, 0.160], [0.780, 0.220, 0.500], [0.780, 0.500, 0.220], [0.840, 0.351, 0.840], [0.840, 0.840, 0.351], [0.000, 0.500, 0.500], [0.400, 0.400, 0.400], [0.500, 0.000, 0.500], [0.500, 0.500, 0.000], [0.600, 0.600, 0.600]]}